First-principles (PBE-GGA) data for an optimized crystal structure of Zr2MoW, as listed in Alexandria via LeMat-Bulk.

a b c (Å): 4.7163 4.7163 4.7163
angles (deg): 60.00 60.00 60.00
Closest atoms and distances in Å follow each position.
Fractional coordinates of all 4 atoms:
Zr  0.0000  0.0000  0.0000  4 Mo 2.89, 4 Zr 2.89
Zr  0.2500  0.2500  0.2500  4 Zr 2.89, 4 W 2.89
Mo  0.7500  0.7500  0.7500  4 W 2.89, 4 Zr 2.89
W  0.5000  0.5000  0.5000  4 Mo 2.89, 4 Zr 2.89

Polymorph energy (0 for the lowest one), eV per atom: 0.0820
Formation energy, meV/atom: 111
Fermi-level density of states, states/eV per cell: 5.02
Symmetry: F-43m, No. 216
Electronic total energy, eV/cell: -40.44

***

First-principles (PBE-GGA) data for an optimized crystal structure of Tl3BrCl, as listed in Alexandria via LeMat-Bulk.

a b c (Å): 6.1671 6.1671 6.1671
angles (deg): 90.00 90.00 90.00
Closest atoms and distances in Å follow each position.
Fractional coordinates of all 5 atoms:
Tl  0.0000  0.0000  0.5000  2 Br 3.08
Tl  0.0000  0.5000  0.0000  2 Br 3.08
Tl  0.5000  0.0000  0.0000  2 Br 3.08
Br  0.0000  0.0000  0.0000  6 Tl 3.08
Cl  0.5000  0.5000  0.5000  12 Tl 4.36

Polymorph energy (0 for the lowest one), eV per atom: 0.1133
ΔE_f (raw), eV/atom: -0.292
Fermi-level density of states, states/eV per cell: 1.86
Symmetry: Pm-3m, No. 221
Electronic total energy, eV/cell: -12.08

***

First-principles (PBE-GGA) data for an optimized crystal structure of PaAgAsO5, as listed in Alexandria via LeMat-Bulk.

a b c (Å): 6.1842 6.1842 8.0741
angles (deg): 103.36 103.36 111.27
Closest atoms and distances in Å follow each position.
Fractional coordinates of all 16 atoms:
Pa  0.0000  0.5000  0.0000  6 O 2.14-2.28
Pa  0.5000  0.0000  0.5000  6 O 2.14-2.28
Ag  0.0607  0.9393  0.7500  2 O 2.28
Ag  0.9393  0.0607  0.2500  2 O 2.28
As  0.4554  0.5446  0.7500  4 O 1.78-1.90
As  0.5446  0.4554  0.2500  4 O 1.78-1.90
O  0.1934  0.8066  0.2500  2 Pa 2.14
O  0.1951  0.3043  0.1363  1 As 1.90
O  0.3043  0.1951  0.6363  1 As 1.90
O  0.3194  0.6301  0.9106  1 As 1.78
O  0.3699  0.6806  0.5894  1 As 1.78
O  0.6301  0.3194  0.4106  1 As 1.78
O  0.6806  0.3699  0.0894  1 As 1.78
O  0.6957  0.8049  0.3637  1 As 1.90
O  0.8049  0.6957  0.8637  1 As 1.90
O  0.8066  0.1934  0.7500  2 Pa 2.14

ΔE_f (raw), eV/atom: -1.883
Fermi-level density of states, states/eV per cell: 6.26
Symmetry: C2/c, No. 15
Electronic total energy, eV/cell: -113.71

***

First-principles (PBE-GGA) data for an optimized crystal structure of In2GaP, as listed in Alexandria via LeMat-Bulk.

a b c (Å): 8.8070 8.8070 8.8070
angles (deg): 25.17 25.17 25.17
Closest atoms and distances in Å follow each position.
Fractional coordinates of all 4 atoms:
In  0.1062  0.1062  0.1062  3 P 2.70, 1 Ga 2.71
In  0.8938  0.8938  0.8938  3 P 2.70, 1 Ga 2.71
Ga  0.0000  0.0000  0.0000  2 In 2.71
P  0.5000  0.5000  0.5000  6 In 2.70

Polymorph energy (0 for the lowest one), eV per atom: 0.0700
Formation energy, meV/atom: 186
Fermi-level density of states, states/eV per cell: 1.47
Symmetry: R-3m, No. 166
Electronic total energy, eV/cell: -13.17

***

First-principles (PBE-GGA) data for an optimized crystal structure of Ca3PmGe4, as listed in Alexandria via LeMat-Bulk.

a b c (Å): 9.0566 9.0566 9.0566
angles (deg): 153.21 137.62 50.85
Closest atoms and distances in Å follow each position.
Fractional coordinates of all 8 atoms:
Ca  0.0000  0.0000  0.0000  8 Ge 3.20
Ca  0.3045  0.8045  0.5000  6 Ge 3.13-3.15
Ca  0.6955  0.1955  0.5000  6 Ge 3.13-3.15
Pm  0.5000  0.5000  0.0000  4 Ge 2.94
Ge  0.0557  0.3722  0.6834  1 Ge 2.40
Ge  0.3112  0.6278  0.6834  1 Ge 2.40
Ge  0.6888  0.3722  0.3166  1 Ge 2.40
Ge  0.9443  0.6278  0.3166  1 Ge 2.40

Formation energy, meV/atom: -470
Fermi-level density of states, states/eV per cell: 3.54
Symmetry: Immm, No. 71
Electronic total energy, eV/cell: -32.98

***

First-principles (PBE-GGA) data for an optimized crystal structure of Zn2CdTc, as listed in Alexandria via LeMat-Bulk.

a b c (Å): 2.7599 2.7599 9.1171
angles (deg): 90.00 90.00 109.79
Closest atoms and distances in Å follow each position.
Fractional coordinates of all 4 atoms:
Zn  0.0000  0.0000  0.2293  2 Tc 2.62, 4 Zn 2.76, 2 Cd 2.93
Zn  0.0000  0.0000  0.7707  2 Tc 2.62, 4 Zn 2.76, 2 Cd 2.93
Cd  0.5000  0.5000  0.5000  4 Cd 2.76, 4 Zn 2.93
Tc  0.5000  0.5000  0.0000  4 Zn 2.62, 4 Tc 2.76

Formation energy, meV/atom: 204
Fermi-level density of states, states/eV per cell: 3.00
Symmetry: Cmmm, No. 65
Electronic total energy, eV/cell: -13.01

***

First-principles (PBE-GGA) data for an optimized crystal structure of Ba4H2Rh, as listed in Alexandria via LeMat-Bulk.

a b c (Å): 8.2107 8.2107 8.2107
angles (deg): 137.71 137.71 61.34
Closest atoms and distances in Å follow each position.
Fractional coordinates of all 7 atoms:
Ba  0.0000  0.5000  0.5000  2 Rh 2.96, 4 H 3.21
Ba  0.2308  0.2308  0.0000  1 H 2.57
Ba  0.5000  0.0000  0.5000  2 Rh 2.96, 4 H 3.21
Ba  0.7692  0.7692  0.0000  1 H 2.57
H  0.4129  0.4129  0.0000  1 H 2.46, 1 Ba 2.57
H  0.5871  0.5871  0.0000  1 H 2.46, 1 Ba 2.57
Rh  0.0000  0.0000  0.0000  6 Ba 2.96-3.26

Polymorph energy (0 for the lowest one), eV per atom: 0.1526
Fermi-level density of states, states/eV per cell: 5.10
Symmetry: I4/mmm, No. 139
Electronic total energy, eV/cell: -22.52

***

First-principles (PBE-GGA) data for an optimized crystal structure of Na2ErAgBr6, as listed in Alexandria via LeMat-Bulk.

a b c (Å): 7.3611 7.3678 7.8150
angles (deg): 90.16 117.98 119.91
Closest atoms and distances in Å follow each position.
Fractional coordinates of all 10 atoms:
Na  0.0000  0.0000  0.0000  6 Br 2.96-3.03
Na  0.0198  0.5100  0.5293  6 Br 2.96-3.10
Er  0.6222  0.3116  0.9331  6 Br 2.77-2.82
Ag  0.5968  0.7994  0.3963  6 Br 2.82-3.09
Br  0.1061  0.4140  0.1991  1 Er 2.82, 1 Ag 2.83, 2 Na 2.96-3.09
Br  0.1360  0.1975  0.7054  1 Er 2.77, 2 Na 2.97-3.02, 1 Ag 3.09
Br  0.5068  0.0938  0.1992  1 Er 2.82, 1 Ag 2.83, 2 Na 2.96-3.10
Br  0.5085  0.9388  0.7046  1 Er 2.78, 2 Na 2.97-3.03, 1 Ag 3.07
Br  0.7667  0.5698  0.7054  1 Er 2.77, 2 Na 2.96-3.02, 1 Ag 3.09
Br  0.7857  0.6935  0.1998  1 Er 2.82, 1 Ag 2.82, 2 Na 2.97-3.10

ΔE_f (raw), eV/atom: -1.425
Fermi-level density of states, states/eV per cell: 0.00
Symmetry: P1, No. 1
Electronic total energy, eV/cell: -34.34

***

First-principles (PBE-GGA) data for an optimized crystal structure of LiPmEu2, as listed in Alexandria via LeMat-Bulk.

a b c (Å): 12.1322 12.1322 12.1322
angles (deg): 17.56 17.56 17.56
Closest atoms and distances in Å follow each position.
Fractional coordinates of all 4 atoms:
Li  0.0000  0.0000  0.0000  6 Eu 3.57, 6 Li 3.70
Pm  0.5000  0.5000  0.5000  6 Pm 3.70, 6 Eu 3.78
Eu  0.2535  0.2535  0.2535  3 Li 3.57, 6 Eu 3.70, 3 Pm 3.78
Eu  0.7465  0.7465  0.7465  3 Li 3.57, 6 Eu 3.70, 3 Pm 3.78

Polymorph energy (0 for the lowest one), eV per atom: 0.0204
Formation energy, meV/atom: 103
Fermi-level density of states, states/eV per cell: 3.95
Symmetry: R-3m, No. 166
Electronic total energy, eV/cell: -26.80

***

First-principles (PBE-GGA) data for an optimized crystal structure of Gd2PaZn, as listed in Alexandria via LeMat-Bulk.

a b c (Å): 3.4231 3.4231 8.7123
angles (deg): 90.00 90.00 90.00
Closest atoms and distances in Å follow each position.
Fractional coordinates of all 4 atoms:
Gd  0.0000  0.0000  0.2257  4 Zn 3.12, 4 Pa 3.40, 4 Gd 3.42
Gd  0.0000  0.0000  0.7743  4 Zn 3.12, 4 Pa 3.40, 4 Gd 3.42
Pa  0.5000  0.5000  0.5000  8 Gd 3.40, 4 Pa 3.42
Zn  0.5000  0.5000  0.0000  8 Gd 3.12, 4 Zn 3.42

Polymorph energy (0 for the lowest one), eV per atom: 0.0000
Formation energy, meV/atom: -52
Fermi-level density of states, states/eV per cell: 4.13
Symmetry: P4/mmm, No. 123
Electronic total energy, eV/cell: -39.14

***

First-principles (PBE-GGA) data for an optimized crystal structure of Cu2HgTe, as listed in Alexandria via LeMat-Bulk.

a b c (Å): 4.3929 4.4921 4.3947
angles (deg): 90.00 103.74 90.00
Closest atoms and distances in Å follow each position.
Fractional coordinates of all 4 atoms:
Cu  0.0000  0.0000  0.0000  2 Cu 2.56, 2 Te 2.64, 3 Hg 2.79-2.80
Cu  0.1764  0.5000  0.8198  2 Cu 2.56, 3 Te 2.62-2.84, 2 Hg 2.74
Hg  0.4048  0.0000  0.5945  5 Cu 2.74-2.80
Te  0.7975  0.5000  0.2001  5 Cu 2.62-2.84

Polymorph energy (0 for the lowest one), eV per atom: 0.0000
ΔE_f (raw), eV/atom: 0.109
Fermi-level density of states, states/eV per cell: 1.49
Symmetry: Pm, No. 6
Electronic total energy, eV/cell: -11.20

***

First-principles (PBE-GGA) data for an optimized crystal structure of DyYPuTl, as listed in Alexandria via LeMat-Bulk.

a b c (Å): 5.4251 5.4251 5.4251
angles (deg): 60.00 60.00 60.00
Closest atoms and distances in Å follow each position.
Fractional coordinates of all 4 atoms:
Dy  0.0000  0.0000  0.0000  4 Tl 3.32, 4 Pu 3.32
Y  0.5000  0.5000  0.5000  4 Pu 3.32, 4 Tl 3.32
Pu  0.2500  0.2500  0.2500  4 Y 3.32, 4 Dy 3.32
Tl  0.7500  0.7500  0.7500  4 Y 3.32, 4 Dy 3.32

Formation energy, meV/atom: 40
Fermi-level density of states, states/eV per cell: 15.11
Symmetry: F-43m, No. 216
Electronic total energy, eV/cell: -27.60

***

First-principles (PBE-GGA) data for an optimized crystal structure of KZrCo2, as listed in Alexandria via LeMat-Bulk.

a b c (Å): 5.9704 5.9704 5.9704
angles (deg): 104.93 104.93 118.99
Closest atoms and distances in Å follow each position.
Fractional coordinates of all 8 atoms:
K  0.0000  0.0000  0.0000  4 Co 2.89, 2 Zr 3.03
K  0.7500  0.2500  0.5000  4 Co 2.89, 2 Zr 3.03
Zr  0.2500  0.7500  0.5000  4 Co 2.49
Zr  0.5000  0.5000  0.0000  4 Co 2.49
Co  0.1652  0.6250  0.0402  2 Zr 2.49
Co  0.3750  0.4152  0.5402  2 Zr 2.49
Co  0.5848  0.1250  0.9598  2 Zr 2.49
Co  0.8750  0.8348  0.4598  2 Zr 2.49

Polymorph energy (0 for the lowest one), eV per atom: 0.6500
Formation energy, meV/atom: 1052
Fermi-level density of states, states/eV per cell: 9.79
Symmetry: I-42d, No. 122
Electronic total energy, eV/cell: -39.30

***

First-principles (PBE-GGA) data for an optimized crystal structure of Ga4Te2As, as listed in Alexandria via LeMat-Bulk.

a b c (Å): 8.7147 8.7147 8.7147
angles (deg): 147.24 147.24 47.01
Closest atoms and distances in Å follow each position.
Fractional coordinates of all 7 atoms:
Ga  0.0000  0.5000  0.5000  2 As 2.46
Ga  0.1772  0.1772  0.0000  1 As 2.83, 1 Te 3.13
Ga  0.5000  0.0000  0.5000  2 As 2.46
Ga  0.8228  0.8228  0.0000  1 As 2.83, 1 Te 3.13
Te  0.3728  0.3728  0.0000  5 Ga 3.13-3.19
Te  0.6272  0.6272  0.0000  5 Ga 3.13-3.19
As  0.0000  0.0000  0.0000  4 Ga 2.46

ΔE_f (raw), eV/atom: 0.016
Fermi-level density of states, states/eV per cell: 1.80
Symmetry: I4/mmm, No. 139
Electronic total energy, eV/cell: -22.93

***

First-principles (PBE-GGA) data for an optimized crystal structure of Na3Hf2CuTe6, as listed in Alexandria via LeMat-Bulk.

a b c (Å): 7.2575 7.2575 7.8786
angles (deg): 98.93 98.93 119.83
Closest atoms and distances in Å follow each position.
Fractional coordinates of all 12 atoms:
Na  0.0000  0.0000  0.0000  6 Te 3.21-3.23
Na  0.3303  0.6697  0.0000  6 Te 3.22-3.24
Na  0.6697  0.3303  0.0000  6 Te 3.22-3.24
Hf  0.1659  0.8341  0.5000  6 Te 2.91
Hf  0.8341  0.1659  0.5000  6 Te 2.91
Cu  0.5000  0.5000  0.5000  6 Te 2.89-2.93
Te  0.0975  0.4289  0.2869  1 Cu 2.89, 2 Hf 2.91, 2 Na 3.22-3.23
Te  0.2379  0.2379  0.7176  2 Hf 2.91, 1 Cu 2.93, 3 Na 3.21-3.24
Te  0.4289  0.0975  0.2869  1 Cu 2.89, 2 Hf 2.91, 2 Na 3.22-3.23
Te  0.5711  0.9025  0.7131  1 Cu 2.89, 2 Hf 2.91, 2 Na 3.22-3.23
Te  0.7621  0.7621  0.2824  2 Hf 2.91, 1 Cu 2.93, 3 Na 3.21-3.24
Te  0.9025  0.5711  0.7131  1 Cu 2.89, 2 Hf 2.91, 2 Na 3.22-3.23

ΔE_f (raw), eV/atom: -0.717
Symmetry: C2/m, No. 12
Electronic total energy, eV/cell: -55.41

***

First-principles (PBE-GGA) data for an optimized crystal structure of Mg8ZnIr2, as listed in Alexandria via LeMat-Bulk.

a b c (Å): 7.6637 7.6637 6.7821
angles (deg): 111.42 111.42 33.77
Closest atoms and distances in Å follow each position.
Fractional coordinates of all 11 atoms:
Mg  0.0327  0.0327  0.2342  1 Ir 2.72, 3 Mg 2.95-2.98, 2 Zn 3.02
Mg  0.1700  0.1700  0.7383  3 Ir 2.75-2.81, 5 Mg 2.84-3.05
Mg  0.3245  0.3245  0.5835  3 Ir 2.71-2.93, 6 Mg 2.84-3.02, 1 Zn 2.84
Mg  0.3796  0.3796  0.0490  3 Ir 2.68-2.98, 1 Zn 2.89, 4 Mg 2.89-2.99
Mg  0.6204  0.6204  0.9510  3 Ir 2.68-2.98, 1 Zn 2.89, 4 Mg 2.89-2.99
Mg  0.6755  0.6755  0.4165  3 Ir 2.71-2.93, 6 Mg 2.84-3.02, 1 Zn 2.84
Mg  0.8300  0.8300  0.2617  3 Ir 2.75-2.81, 5 Mg 2.84-3.05
Mg  0.9673  0.9673  0.7658  1 Ir 2.72, 3 Mg 2.95-2.98, 2 Zn 3.02
Zn  0.5000  0.5000  0.5000  8 Mg 2.84-3.02
Ir  0.2035  0.2035  0.1652  10 Mg 2.68-2.98
Ir  0.7965  0.7965  0.8348  10 Mg 2.68-2.98

Formation energy, meV/atom: -238
Fermi-level density of states, states/eV per cell: 2.84
Symmetry: C2/m, No. 12
Electronic total energy, eV/cell: -34.37

***

First-principles (PBE-GGA) data for an optimized crystal structure of ZrTlMo2, as listed in Alexandria via LeMat-Bulk.

a b c (Å): 4.7403 4.7403 4.7403
angles (deg): 60.00 60.00 60.00
Closest atoms and distances in Å follow each position.
Fractional coordinates of all 4 atoms:
Zr  0.0000  0.0000  0.0000  4 Mo 2.90, 4 Tl 2.90
Tl  0.2500  0.2500  0.2500  4 Zr 2.90, 4 Mo 2.90
Mo  0.5000  0.5000  0.5000  4 Tl 2.90, 4 Mo 2.90
Mo  0.7500  0.7500  0.7500  4 Zr 2.90, 4 Mo 2.90

Polymorph energy (0 for the lowest one), eV per atom: 0.2196
Formation energy, meV/atom: 363
Fermi-level density of states, states/eV per cell: 2.69
Symmetry: F-43m, No. 216
Electronic total energy, eV/cell: -31.13

***

First-principles (PBE-GGA) data for an optimized crystal structure of HfAlC2, as listed in Alexandria via LeMat-Bulk.

a b c (Å): 5.0470 5.0470 5.0470
angles (deg): 113.23 113.23 102.20
Closest atoms and distances in Å follow each position.
Fractional coordinates of all 8 atoms:
Hf  0.0000  0.0000  0.0000  4 C 2.23
Hf  0.7500  0.2500  0.5000  4 C 2.23
Al  0.2500  0.7500  0.5000  4 C 2.02
Al  0.5000  0.5000  0.0000  4 C 2.02
C  0.1536  0.6250  0.0286  2 Al 2.02, 2 Hf 2.23
C  0.3750  0.4036  0.5286  2 Al 2.02, 2 Hf 2.23
C  0.5964  0.1250  0.9714  2 Al 2.02, 2 Hf 2.23
C  0.8750  0.8464  0.4714  2 Al 2.02, 2 Hf 2.23

Formation energy, meV/atom: 112
Fermi-level density of states, states/eV per cell: 1.48
Symmetry: I-42d, No. 122
Electronic total energy, eV/cell: -63.39

***

First-principles (PBE-GGA) data for an optimized crystal structure of LiNd3Pd3, as listed in Alexandria via LeMat-Bulk.

a b c (Å): 5.7609 5.7609 14.3232
angles (deg): 90.00 90.00 136.80
Closest atoms and distances in Å follow each position.
Fractional coordinates of all 14 atoms:
Li  0.0000  0.0000  0.0000  4 Pd 2.63
Li  0.0000  0.0000  0.5000  4 Pd 2.63
Nd  0.0253  0.9747  0.7500  7 Pd 3.01-3.20
Nd  0.2985  0.7015  0.6053  6 Pd 3.02-3.14, 2 Li 3.38
Nd  0.2985  0.7015  0.8947  6 Pd 3.02-3.14, 2 Li 3.38
Nd  0.7015  0.2985  0.1053  6 Pd 3.02-3.14, 2 Li 3.38
Nd  0.7015  0.2985  0.3947  6 Pd 3.02-3.14, 2 Li 3.38
Nd  0.9747  0.0253  0.2500  7 Pd 3.01-3.20
Pd  0.2552  0.7448  0.2500  2 Pd 2.88, 7 Nd 3.01-3.17
Pd  0.4159  0.5841  0.0890  2 Li 2.63, 1 Pd 2.88
Pd  0.4159  0.5841  0.4110  2 Li 2.63, 1 Pd 2.88
Pd  0.5841  0.4159  0.5890  2 Li 2.63, 1 Pd 2.88
Pd  0.5841  0.4159  0.9110  2 Li 2.63, 1 Pd 2.88
Pd  0.7448  0.2552  0.7500  2 Pd 2.88, 7 Nd 3.01-3.17

Polymorph energy (0 for the lowest one), eV per atom: 0.0000
Formation energy, meV/atom: -669
Fermi-level density of states, states/eV per cell: 10.11
Symmetry: Cmcm, No. 63
Electronic total energy, eV/cell: -72.96